Entry 1:
This record from Alexandria via LeMat-Bulk describes KSbMo2 after structural relaxation. The functional is PBE-GGA.

E_tot	-5.896	eV/atom
ΔE_f (raw)	80	kJ per mole of atoms
density	5.81	g cm⁻³
magnetization	0.000	μB/atom

CIF file:
```
data_KSbMo2
_space_group_name_H-M_alt 'P 4/m m m'
_space_group_IT_number 123
_space_group_name_Hall '-P 4 2'
_cell_length_a 3.619
_cell_length_b 3.619
_cell_length_c 7.699
_cell_angle_alpha 90.00
_cell_angle_beta 90.00
_cell_angle_gamma 90.00
loop_
_atom_site_label
_atom_site_type_symbol
_atom_site_fract_x
_atom_site_fract_y
_atom_site_fract_z
_atom_site_occupancy
K1 K 0.000 0.000 0.000 1
Sb1 Sb 0.000 0.000 0.500 1
Mo1 Mo 0.500 0.500 0.348 1
```

=====

Entry 2:
This record from Alexandria via LeMat-Bulk describes Tb2Pm3Er after structural relaxation. The functional is PBE-GGA.

E_tot	-4.683	eV/atom
excess energy over the best structure of this formula in the dataset	0.000	eV/atom
density	7.77	g cm⁻³
formation enthalpy at 0 K	-0.024	eV/f.u.
magnetization	0.000	μB/atom

CIF file:
```
data_Tb2Pm3Er
_space_group_name_H-M_alt 'C m c m'
_space_group_IT_number 63
_space_group_name_Hall '-C 2c 2'
_cell_length_a 10.832
_cell_length_b 6.253
_cell_length_c 11.614
_cell_angle_alpha 90.00
_cell_angle_beta 90.00
_cell_angle_gamma 90.00
loop_
_atom_site_label
_atom_site_type_symbol
_atom_site_fract_x
_atom_site_fract_y
_atom_site_fract_z
_atom_site_occupancy
Tb1 Tb 0.167 0.167 0.250 1
Pm1 Pm 0.000 0.000 0.000 1
Pm2 Pm 0.166 0.500 0.000 1
Er1 Er 0.000 0.333 0.750 1
```

=====

Entry 3:
This record from Alexandria via LeMat-Bulk describes Ho7Cu2Bi2 after structural relaxation. The functional is PBE-GGA.

E_tot	-4.714	eV/atom
density	9.25	g cm⁻³
formation enthalpy at 0 K	-3.858	eV/f.u.
magnetization	0.000	μB/atom

CIF file:
```
data_Ho7Cu2Bi2
_space_group_name_H-M_alt 'I m m 2'
_space_group_IT_number 44
_space_group_name_Hall 'I 2 -2'
_cell_length_a 4.021
_cell_length_b 15.481
_cell_length_c 9.802
_cell_angle_alpha 90.00
_cell_angle_beta 90.00
_cell_angle_gamma 90.00
loop_
_atom_site_label
_atom_site_type_symbol
_atom_site_fract_x
_atom_site_fract_y
_atom_site_fract_z
_atom_site_occupancy
Ho1 Ho 0.000 0.000 0.000 1
Ho2 Ho 0.000 0.126 0.419 1
Ho3 Ho 0.000 0.310 0.625 1
Ho4 Ho 0.000 0.357 0.276 1
Cu1 Cu 0.000 0.237 0.933 1
Bi1 Bi 0.000 0.000 0.669 1
Bi2 Bi 0.000 0.500 0.759 1
```

=====

Entry 4:
This record from Alexandria via LeMat-Bulk describes NaPuSb2 after structural relaxation. The functional is PBE-GGA.

E_tot	-6.395	eV/atom
ΔE_f (raw)	-41	kJ per mole of atoms
excess energy over the best structure of this formula in the dataset	0.027	eV/atom
density	7.93	g cm⁻³
magnetization	1.291	μB/atom

CIF file:
```
data_NaPuSb2
_space_group_name_H-M_alt 'P 4/m m m'
_space_group_IT_number 123
_space_group_name_Hall '-P 4 2'
_cell_length_a 5.692
_cell_length_b 5.692
_cell_length_c 3.299
_cell_angle_alpha 90.00
_cell_angle_beta 90.00
_cell_angle_gamma 90.00
loop_
_atom_site_label
_atom_site_type_symbol
_atom_site_fract_x
_atom_site_fract_y
_atom_site_fract_z
_atom_site_occupancy
Na1 Na 0.000 0.000 0.000 1
Pu1 Pu 0.500 0.500 0.000 1
Sb1 Sb 0.000 0.500 0.500 1
```

=====

Q: Among the records above, which one has the highest density?
A: Ho7Cu2Bi2

=====

What did the third record say?
This record from Alexandria via LeMat-Bulk describes Ho7Cu2Bi2 after structural relaxation. The functional is PBE-GGA.

E_tot	-4.714	eV/atom
density	9.25	g cm⁻³
formation enthalpy at 0 K	-3.858	eV/f.u.
magnetization	0.000	μB/atom

CIF file:
```
data_Ho7Cu2Bi2
_space_group_name_H-M_alt 'I m m 2'
_space_group_IT_number 44
_space_group_name_Hall 'I 2 -2'
_cell_length_a 4.021
_cell_length_b 15.481
_cell_length_c 9.802
_cell_angle_alpha 90.00
_cell_angle_beta 90.00
_cell_angle_gamma 90.00
loop_
_atom_site_label
_atom_site_type_symbol
_atom_site_fract_x
_atom_site_fract_y
_atom_site_fract_z
_atom_site_occupancy
Ho1 Ho 0.000 0.000 0.000 1
Ho2 Ho 0.000 0.126 0.419 1
Ho3 Ho 0.000 0.310 0.625 1
Ho4 Ho 0.000 0.357 0.276 1
Cu1 Cu 0.000 0.237 0.933 1
Bi1 Bi 0.000 0.000 0.669 1
Bi2 Bi 0.000 0.500 0.759 1
```